Material: AcPaI2
Method: DFT, PBE
State: optimized geometry

The calculation puts the volume at 37.00 Å³ per atom. The final energy comes out at -4.495 eV/atom.

It has space group R-3m (No. 166, hexagonal axes), with a = 3.8649 Å, b = 3.8649 Å, c = 34.3208 Å, α = 90.00°, β = 90.00° and γ = 120.00°. Symmetry generates all atoms from Ac at (0.0000, 0.0000, 0.0000), Pa at (0.0000, 0.0000, 0.5000) and I at (0.0000, 0.0000, 0.4081).

Material: Ac2PaI
Method: DFT, PBE
State: optimized geometry

The calculation puts the volume at 36.44 Å³ per atom. The final energy comes out at -4.624 eV/atom.

It has space group R-3m (No. 166, hexagonal axes), with a = 3.6639 Å, b = 3.6639 Å, c = 37.6134 Å, α = 90.00°, β = 90.00° and γ = 120.00°. Symmetry generates all atoms from Ac at (0.0000, 0.0000, 0.0926), Pa at (0.0000, 0.0000, 0.0000) and I at (0.0000, 0.0000, 0.5000).

Material: AcPbI5
Method: DFT, PBE
State: optimized geometry

The calculation puts the volume at 48.78 Å³ per atom. The final energy comes out at -3.354 eV/atom.

It has space group P2_1/m (No. 11), with a = 9.3236 Å, b = 4.7607 Å, c = 15.4120 Å, α = 90.00°, β = 93.46° and γ = 90.00°. Symmetry generates all atoms from Ac at (0.0872, 0.2500, 0.1535), Pb at (0.4069, 0.7500, 0.3688), I at (0.1265, 0.2500, 0.7875), I at (0.1527, 0.2500, 0.3713), I at (0.1866, 0.7500, 0.0138), I at (0.3605, 0.7500, 0.5718) and I at (0.4340, 0.2500, 0.1893).

Material: Ac2PbI2
Method: DFT, PBE
State: optimized geometry

The calculation puts the volume at 47.79 Å³ per atom. The final energy comes out at -4.126 eV/atom.

It has space group R-3m (No. 166, hexagonal axes), with a = 4.8742 Å, b = 4.8742 Å, c = 34.8383 Å, α = 90.00°, β = 90.00° and γ = 120.00°. Symmetry generates all atoms from Ac at (0.0000, 0.0000, 0.1134), Pb at (0.0000, 0.0000, 0.5000) and I at (0.0000, 0.0000, 0.2772).

Material: Ac3Pb2I2
Method: DFT, PBE
State: optimized geometry

The calculation puts the volume at 46.76 Å³ per atom. The final energy comes out at -4.017 eV/atom.

It has space group P-1 (No. 2), with a = 4.7714 Å, b = 8.3900 Å, c = 8.7523 Å, α = 77.42°, β = 89.95° and γ = 73.59°. Symmetry generates all atoms from Ac at (0.0000, 0.0000, 0.0000), Ac at (0.2388, 0.5211, 0.7692), Pb at (0.3817, 0.2374, 0.1197) and I at (0.1384, 0.7245, 0.3713).

Material: Ac8Pb5I
Method: DFT, PBE
State: optimized geometry

The calculation puts the volume at 38.78 Å³ per atom. The final energy comes out at -4.357 eV/atom.

It has space group I-4 (No. 82), with a = 10.2669 Å, b = 10.2669 Å, c = 10.3002 Å, α = 90.00°, β = 90.00° and γ = 90.00°. Symmetry generates all atoms from Ac at (0.0727, 0.1846, 0.3139), Ac at (0.0734, 0.3249, 0.9463), Pb at (0.0000, 0.5000, 0.2500), Pb at (0.1279, 0.2513, 0.6296) and I at (0.0000, 0.0000, 0.0000).

Material: Ac3PbI
Method: DFT, PBE
State: optimized geometry

The calculation puts the volume at 39.61 Å³ per atom. The final energy comes out at -3.996 eV/atom.

It has space group P2_1/c (No. 14), with a = 10.1524 Å, b = 6.8954 Å, c = 11.8281 Å, α = 90.00°, β = 106.94° and γ = 90.00°. Symmetry generates all atoms from Ac at (0.0396, 0.1084, 0.2900), Ac at (0.1877, 0.6243, 0.5332), Ac at (0.4295, 0.2083, 0.8639), Pb at (0.3449, 0.7012, 0.8325) and I at (0.1823, 0.1397, 0.5886).

Material: Ac5Pb4I
Method: DFT, PBE
State: optimized geometry

The energy above the most stable polymorph in this dataset is 48.2 meV/atom. The calculation puts the volume at 35.73 Å³ per atom. The final energy comes out at -4.267 eV/atom.

It has space group P4/mmm (No. 123), with a = 3.9365 Å, b = 3.9365 Å, c = 23.0560 Å, α = 90.00°, β = 90.00° and γ = 90.00°. Symmetry generates all atoms from Ac at (0.0000, 0.0000, 0.0000), Ac at (0.0000, 0.0000, 0.2008), Ac at (0.0000, 0.0000, 0.3981), Pb at (0.5000, 0.5000, 0.1010), Pb at (0.5000, 0.5000, 0.3019) and I at (0.5000, 0.5000, 0.5000).

Number 8 is which compound? Ac5Pb4I

What did the fifth record say?
Material: Ac3Pb2I2
Method: DFT, PBE
State: optimized geometry

The calculation puts the volume at 46.76 Å³ per atom. The final energy comes out at -4.017 eV/atom.

It has space group P-1 (No. 2), with a = 4.7714 Å, b = 8.3900 Å, c = 8.7523 Å, α = 77.42°, β = 89.95° and γ = 73.59°. Symmetry generates all atoms from Ac at (0.0000, 0.0000, 0.0000), Ac at (0.2388, 0.5211, 0.7692), Pb at (0.3817, 0.2374, 0.1197) and I at (0.1384, 0.7245, 0.3713).

The lowest volume belongs to which entry? Ac5Pb4I